Density functional theory data (PBE) for VCuTeN2 after structural relaxation.

Unit cell a=3.807 b=3.807 c=5.173 alpha=90.00 beta=90.00 gamma=90.00
Element x y z (fractional)
N1 0.000 0.500 0.000
N2 0.500 0.000 0.000
Te1 0.000 0.000 0.500
Cu1 0.000 0.000 0.000
V1 0.500 0.500 0.500

Values from the calculation:
Energy relative to the lowest polymorph listed for this composition   1.256 eV/atom
Raw formation energy   1.664 eV per atom
DOS at the Fermi energy   8.600 states/eV/cell
Space group   P4/mmm